No. 1
A PBEsol-optimized structure of Nd2Zn15Ge2, computed with SCAN.

Cell and atoms, written as POSCAR:
```
Nd2Zn15Ge2
1.0
6.7417 -0.0035 -0.0032
0.5973 6.7152 -0.0032
0.5973 0.5463 6.6929
Nd Zn Ge
2 15 2
direct
0.3327 0.3327 0.3327
0.6673 0.6673 0.6673
0.0000 0.5000 0.0000
0.5000 0.0000 0.0000
0.0000 0.0000 0.5000
0.3129 0.0000 0.6871
0.0000 0.6871 0.3129
0.6871 0.3129 0.0000
0.6871 0.0000 0.3129
0.0000 0.3129 0.6871
0.3129 0.6871 0.0000
0.6514 0.6514 0.1711
0.6514 0.1711 0.6514
0.1711 0.6514 0.6514
0.8289 0.3486 0.3486
0.3486 0.3486 0.8289
0.3486 0.8289 0.3486
0.0992 0.0992 0.0992
0.9008 0.9008 0.9008
```

Properties
total energy: -17.529 eV/atom
DOS at the Fermi energy: 4.7 states/eV/f.u.
spin magnetization: 0.00 μB per atom
energy of formation from the pure elements: -4.98 eV/f.u.



No. 2
A PBEsol-optimized structure of ZnAgOs2, computed with SCAN.

Cell and atoms, written as POSCAR:
```
ZnAgOs2
1.0
-1.2924 1.2689 1.9643
-1.6645 -4.3232 1.6976
4.3082 1.5749 1.8172
Ag Os Zn
1 2 1
direct
0.5000 0.5000 0.5000
0.0000 0.5000 0.0000
0.0000 0.0000 0.5000
0.5000 0.0000 0.0000
```

Properties
total energy: -46.431 eV/atom
DOS at the Fermi energy: 3.8 states/eV/f.u.
spin magnetization: 0.00 μB per atom
energy of formation from the pure elements: 2.92 eV/f.u.



spin magnetization of number 2 (ZnAgOs2)?
0.00 μB per atom



The lowest total energy belongs to which entry?
ZnAgOs2